Ta2ReIr | Alexandria | GGA-PBE | optimized geometry; formation enthalpy at 0 K = -370.5 meV per atom; crystal system = tetragonal
1.0
4.392 0.000 0.000
0.000 4.392 0.000
0.000 0.000 3.407
Ta Re Ir
2 1 1
direct
0.000 0.500 0.000
0.500 0.000 0.000
0.000 0.000 0.500
0.500 0.500 0.500



LiZrGa2Cl | Alexandria | GGA-PBE | optimized geometry; crystal system = tetragonal; raw formation energy = 0.082 eV per atom
1.0
4.855 0.000 0.000
0.000 4.855 0.000
0.000 0.000 4.144
Li Zr Ga Cl
1 1 2 1
direct
0.000 0.000 0.000
0.500 0.500 0.500
0.000 0.500 0.000
0.500 0.000 0.000
0.000 0.000 0.500



Cd3Se | Alexandria | GGA-PBE | optimized geometry; crystal system = cubic; raw formation energy = 0.017 eV per atom
1.0
4.524 0.000 0.000
0.000 4.524 0.000
0.000 0.000 4.524
Cd Se
3 1
direct
0.000 0.000 0.500
0.000 0.500 0.000
0.500 0.000 0.000
0.500 0.500 0.500



SrSiHg2 | Alexandria | GGA-PBE | optimized geometry; crystal system = orthorhombic; raw formation energy = -0.073 eV per atom
1.0
4.609 0.000 0.000
0.000 4.626 0.000
0.000 0.000 4.785
Sr Si Hg
1 1 2
direct
0.000 0.000 0.000
0.500 0.500 0.000
0.000 0.500 0.500
0.500 0.000 0.500



TlZnIn2 | Alexandria | GGA-PBE | optimized geometry; formation enthalpy at 0 K = 138.1 meV per atom; crystal system = tetragonal
1.0
5.614 0.000 0.000
0.000 5.614 0.000
0.000 0.000 3.306
Tl Zn In
1 1 2
direct
0.000 0.000 0.000
0.500 0.500 0.000
0.000 0.500 0.500
0.500 0.000 0.500



KLiMn2I8 | Alexandria | GGA-PBE | optimized geometry; crystal system = trigonal; raw formation energy = -0.600 eV per atom
1.0
7.366 0.000 0.000
-3.683 6.379 0.000
0.000 0.000 10.231
K Li Mn I
1 1 2 8
direct
0.000 0.000 0.000
0.000 0.000 0.500
0.333 0.667 0.748
0.667 0.333 0.252
0.001 0.677 0.323
0.323 0.324 0.323
0.324 0.001 0.677
0.333 0.667 0.001
0.667 0.333 0.999
0.676 0.999 0.323
0.677 0.676 0.677
0.999 0.323 0.677



| no. | total magnetization (μB/f.u.) |
| --- | --- |
| 1 | 0.0 |
| 2 | 0.0 |
| 3 | 0.0 |
| 4 | 0.0 |
| 5 | 0.0 |
| 6 | 8.0 |